# 1
Compound: NaSeI3
Source: Alexandria via LeMat-Bulk
Functional: PBE
Structure: relaxed

Unit cell a=5.852 b=5.852 c=5.852 alpha=90.00 beta=90.00 gamma=90.00
Fractional coordinates of all 5 atoms:
1 I 0.000 0.500 0.000
2 I 0.000 0.000 0.500
3 I 0.500 0.000 0.000
4 Na 0.500 0.500 0.500
5 Se 0.000 0.000 0.000

The value obtained for the relative energy among the computed polymorphs is 114 meV/atom. The calculation puts the formation energy without anion corrections at -343 meV per atom. As for the space-group type: Pm-3m, No. 221. The density of states at the Fermi level is 1.02 states/eV/f.u.

---

# 2
Compound: NaSeI
Source: Alexandria via LeMat-Bulk
Functional: PBE
Structure: relaxed

Unit cell a=5.221 b=7.557 c=11.016 alpha=84.91 beta=90.00 gamma=90.00
Fractional coordinates of all 12 atoms:
1 Se 0.250 0.415 0.851
2 Se 0.250 0.157 0.750
3 Se 0.750 0.843 0.250
4 Se 0.750 0.585 0.149
5 Na 0.250 0.833 0.408
6 Na 0.250 0.388 0.150
7 Na 0.750 0.612 0.850
8 Na 0.750 0.167 0.592
9 I 0.750 0.141 0.091
10 I 0.250 0.251 0.434
11 I 0.750 0.749 0.566
12 I 0.250 0.859 0.909

The value obtained for the relative energy among the computed polymorphs is 28 meV/atom. The calculation puts the formation energy without anion corrections at -642 meV per atom. As for the space-group type: P2_1/m, No. 11.

---

# 3
Compound: NaSeI
Source: Alexandria via LeMat-Bulk
Functional: PBE
Structure: relaxed

Unit cell a=3.992 b=6.398 c=7.851 alpha=79.67 beta=89.99 gamma=71.81
Fractional coordinates of all 6 atoms:
1 Na 0.672 0.948 0.125
2 Na 0.923 0.445 0.471
3 Se 0.006 0.278 0.871
4 Se 0.588 0.115 0.724
5 I 0.203 0.885 0.470
6 I 0.392 0.508 0.125

The value obtained for the relative energy among the computed polymorphs is 0 meV/atom. The calculation puts the formation energy without anion corrections at -670 meV per atom. As for the space-group type: C2/m, No. 12. The density of states at the Fermi level is 0.71 states/eV/f.u.

---

# 4
Compound: NaSe2I2
Source: Alexandria via LeMat-Bulk
Functional: PBE
Structure: relaxed

Unit cell a=9.452 b=6.649 c=10.857 alpha=117.84 beta=90.00 gamma=135.30
Fractional coordinates of all 10 atoms:
1 Na 0.597 0.000 0.250
2 Na 0.403 0.000 0.750
3 Se 0.688 0.798 0.571
4 Se 0.890 0.202 0.929
5 Se 0.312 0.202 0.429
6 Se 0.110 0.798 0.071
7 I 0.605 0.469 0.159
8 I 0.136 0.531 0.341
9 I 0.395 0.531 0.841
10 I 0.864 0.469 0.659

The value obtained for the relative energy among the computed polymorphs is 0 meV/atom. The calculation puts the formation energy without anion corrections at -348 meV per atom. As for the space-group type: C2/c, No. 15. The density of states at the Fermi level is 1.09 states/eV/f.u.

---

Calculated total magnetization, 0.0; 0.0; 0.0; 0.0 Bohr magnetons per cell (same order as the records).